No. 1
# U2TiCrS6, optimized geometry, DFT GGA-PBE
# Formation energy without anion corrections ... -1.152 eV per atom
# Mass density ... 5.86 g cm⁻³
# V ... 653.6 Å³/cell
data_U2TiCrS6
_chemical_formula_sum 'U6 Ti3 Cr3 S18'
_cell_length_a 6.5076
_cell_length_b 6.5076
_cell_length_c 17.8203
_cell_angle_alpha 90.00
_cell_angle_beta 90.00
_cell_angle_gamma 120.00
_symmetry_space_group_name_H-M 'R 3'
_symmetry_Int_Tables_number 146
_symmetry_space_group_name_Hall 'R 3'
loop_
_atom_site_label
_atom_site_type_symbol
_atom_site_fract_x
_atom_site_fract_y
_atom_site_fract_z
U1 U 0.0000 0.0000 0.0000
U2 U 0.0000 0.0000 0.4989
Ti1 Ti 0.0000 0.0000 0.3095
Cr1 Cr 0.0000 0.0000 0.8076
S1 S 0.0047 0.3777 0.0643
S2 S 0.0071 0.6280 0.5650



No. 2
# ZrSb5, optimized geometry, DFT GGA-PBE
# Formation energy without anion corrections ... -0.042 eV per atom
# Mass density ... 6.97 g cm⁻³
# V ... 333.6 Å³/cell
data_ZrSb5
_chemical_formula_sum 'Zr2 Sb10'
_cell_length_a 5.323
_cell_length_b 3.856
_cell_length_c 16.249
_cell_angle_alpha 90.00
_cell_angle_beta 90.00
_cell_angle_gamma 90.00
_symmetry_space_group_name_H-M 'A m m 2'
_symmetry_Int_Tables_number 38
loop_
_symmetry_equiv_pos_as_xyz
'x,y,z'
'-x,-y,z'
'-x,y,z'
'x,-y,z'
'x,y+1/2,z+1/2'
'-x,-y+1/2,z+1/2'
'-x,y+1/2,z+1/2'
'x,-y+1/2,z+1/2'
loop_
_atom_site_label
_atom_site_type_symbol
_atom_site_fract_x
_atom_site_fract_y
_atom_site_fract_z
Zr1 Zr 0.000 0.000 0.000
Sb1 Sb 0.000 0.000 0.355
Sb2 Sb 0.000 0.000 0.644
Sb3 Sb 0.500 0.000 0.091
Sb4 Sb 0.500 0.000 0.439
Sb5 Sb 0.500 0.000 0.737



No. 3
# MgMnAg2, optimized geometry, DFT GGA-PBE
# E_form ... 0.170 eV/atom
# Mass density ... 6.87 g cm⁻³
# V ... 214.0 Å³/cell
data_MgMnAg2
_chemical_formula_sum 'Mg3 Mn3 Ag6'
_cell_length_a 2.9833
_cell_length_b 2.9833
_cell_length_c 27.7575
_cell_angle_alpha 90.00
_cell_angle_beta 90.00
_cell_angle_gamma 120.00
_symmetry_space_group_name_H-M 'R 3 m'
_symmetry_Int_Tables_number 160
_symmetry_space_group_name_Hall 'R 3 -2"'
loop_
_atom_site_label
_atom_site_type_symbol
_atom_site_fract_x
_atom_site_fract_y
_atom_site_fract_z
Mg1 Mg 0.0000 0.0000 0.0000
Mn1 Mn 0.0000 0.0000 0.2494
Ag1 Ag 0.0000 0.0000 0.5028
Ag2 Ag 0.0000 0.0000 0.7498



No. 4
# ZnFeCuAu, optimized geometry, DFT GGA-PBE
# E_form ... 0.071 eV/atom
# Mass density ... 11.02 g cm⁻³
# V ... 230.1 Å³/cell
data_ZnFeCuAu
_chemical_formula_sum 'Zn4 Fe4 Cu4 Au4'
_cell_length_a 6.128
_cell_length_b 6.128
_cell_length_c 6.128
_cell_angle_alpha 90.00
_cell_angle_beta 90.00
_cell_angle_gamma 90.00
_symmetry_space_group_name_H-M 'F -4 3 m'
_symmetry_Int_Tables_number 216
_symmetry_space_group_name_Hall 'F -4 2 3'
loop_
_atom_site_label
_atom_site_type_symbol
_atom_site_fract_x
_atom_site_fract_y
_atom_site_fract_z
Zn1 Zn 0.000 0.000 0.000
Fe1 Fe 0.000 0.000 0.500
Cu1 Cu 0.250 0.250 0.750
Au1 Au 0.250 0.250 0.250



No. 5
# SiBAuC, optimized geometry, DFT GGA-PBE
# Formation energy without anion corrections ... 0.244 eV per atom
# Mass density ... 6.76 g cm⁻³
# V ... 121.9 Å³/cell
data_SiBAuC
_chemical_formula_sum 'Si2 B2 Au2 C2'
_cell_length_a 8.846
_cell_length_b 2.778
_cell_length_c 5.516
_cell_angle_alpha 90.00
_cell_angle_beta 115.95
_cell_angle_gamma 90.00
_symmetry_space_group_name_H-M 'C 1 m 1'
_symmetry_Int_Tables_number 8
loop_
_symmetry_equiv_pos_as_xyz
'x,y,z'
'x,-y,z'
'x+1/2,y+1/2,z'
'x+1/2,-y+1/2,z'
loop_
_atom_site_label
_atom_site_type_symbol
_atom_site_fract_x
_atom_site_fract_y
_atom_site_fract_z
Si1 Si 0.000 0.000 0.000
B1 B 0.315 0.500 0.135
Au1 Au 0.383 0.000 0.585
C1 C 0.237 0.000 0.133



No. 6
# LaPr3Y, optimized geometry, DFT GGA-PBE
# E_form ... 0.116 eV/atom
# Mass density ... 6.01 g cm⁻³
# V ... 719.4 Å³/cell
data_LaPr3Y
_chemical_formula_sum 'La4 Pr12 Y4'
_cell_length_a 11.987
_cell_length_b 7.213
_cell_length_c 8.841
_cell_angle_alpha 90.00
_cell_angle_beta 109.77
_cell_angle_gamma 90.00
_symmetry_space_group_name_H-M 'C 1 2/m 1'
_symmetry_Int_Tables_number 12
loop_
_symmetry_equiv_pos_as_xyz
'x,y,z'
'-x,-y,-z'
'-x,y,-z'
'x,-y,z'
'x+1/2,y+1/2,z'
'-x+1/2,-y+1/2,-z'
'-x+1/2,y+1/2,-z'
'x+1/2,-y+1/2,z'
loop_
_atom_site_label
_atom_site_type_symbol
_atom_site_fract_x
_atom_site_fract_y
_atom_site_fract_z
La1 La 0.057 0.000 0.223
Pr1 Pr 0.154 0.250 0.614
Pr2 Pr 0.246 0.000 0.998
Y1 Y 0.055 0.500 0.223



No. 7
# Er3ScRh2, optimized geometry, DFT GGA-PBE
# E_form ... -0.599 eV/atom
# Mass density ... 8.28 g cm⁻³
# V ... 603.6 Å³/cell
data_Er3ScRh2
_chemical_formula_sum 'Er12 Sc4 Rh8'
_cell_length_a 6.532
_cell_length_b 13.214
_cell_length_c 6.994
_cell_angle_alpha 90.00
_cell_angle_beta 90.00
_cell_angle_gamma 90.00
_symmetry_space_group_name_H-M 'I b a m'
_symmetry_Int_Tables_number 72
_symmetry_space_group_name_Hall '-I 2 2c'
loop_
_atom_site_label
_atom_site_type_symbol
_atom_site_fract_x
_atom_site_fract_y
_atom_site_fract_z
Er1 Er 0.000 0.000 0.250
Er2 Er 0.000 0.273 0.250
Sc1 Sc 0.000 0.500 0.000
Rh1 Rh 0.216 0.136 0.000



No. 8
# BaIr2W, optimized geometry, DFT GGA-PBE
# E_form ... 0.073 eV/atom
# Mass density ... 11.75 g cm⁻³
# V ... 299.1 Å³/cell
data_BaIr2W
_chemical_formula_sum 'Ba3 Ir6 W3'
_cell_length_a 4.3941
_cell_length_b 4.3941
_cell_length_c 17.8947
_cell_angle_alpha 90.00
_cell_angle_beta 90.00
_cell_angle_gamma 120.00
_symmetry_space_group_name_H-M 'R -3 m'
_symmetry_Int_Tables_number 166
_symmetry_space_group_name_Hall '-R 3 2"'
loop_
_atom_site_label
_atom_site_type_symbol
_atom_site_fract_x
_atom_site_fract_y
_atom_site_fract_z
Ba1 Ba 0.0000 0.0000 0.0000
Ir1 Ir 0.0000 0.0000 0.1965
W1 W 0.0000 0.0000 0.5000



No. 9
# K3Ga, optimized geometry, DFT GGA-PBE
# E_form ... 0.165 eV/atom
# Mass density ... 1.63 g cm⁻³
# V ... 190.1 Å³/cell
data_K3Ga
_chemical_formula_sum 'K3 Ga1'
_cell_length_a 5.750
_cell_length_b 5.750
_cell_length_c 5.750
_cell_angle_alpha 90.00
_cell_angle_beta 90.00
_cell_angle_gamma 90.00
_symmetry_space_group_name_H-M 'P m -3 m'
_symmetry_Int_Tables_number 221
_symmetry_space_group_name_Hall '-P 4 2 3'
loop_
_atom_site_label
_atom_site_type_symbol
_atom_site_fract_x
_atom_site_fract_y
_atom_site_fract_z
K1 K 0.000 0.000 0.500
Ga1 Ga 0.500 0.500 0.500



No. 10
# Mn2IrRu2, optimized geometry, DFT GGA-PBE
# E_form ... 0.133 eV/atom
# Mass density ... 12.86 g cm⁻³
# V ... 130.3 Å³/cell
data_Mn2IrRu2
_chemical_formula_sum 'Mn4 Ir2 Ru4'
_cell_length_a 6.937
_cell_length_b 6.937
_cell_length_c 2.707
_cell_angle_alpha 90.00
_cell_angle_beta 90.00
_cell_angle_gamma 90.00
_symmetry_space_group_name_H-M 'P 4/m b m'
_symmetry_Int_Tables_number 127
_symmetry_space_group_name_Hall '-P 4 2ab'
loop_
_atom_site_label
_atom_site_type_symbol
_atom_site_fract_x
_atom_site_fract_y
_atom_site_fract_z
Mn1 Mn 0.120 0.380 0.000
Ir1 Ir 0.000 0.000 0.000
Ru1 Ru 0.175 0.675 0.500



No. 11
# K3ScRu, optimized geometry, DFT GGA-PBE
# E_form ... 1.483 eV/atom
# Mass density ... 2.03 g cm⁻³
# V ... 215.6 Å³/cell
data_K3ScRu
_chemical_formula_sum 'K3 Sc1 Ru1'
_cell_length_a 5.996
_cell_length_b 5.996
_cell_length_c 5.996
_cell_angle_alpha 90.00
_cell_angle_beta 90.00
_cell_angle_gamma 90.00
_symmetry_space_group_name_H-M 'P m -3 m'
_symmetry_Int_Tables_number 221
_symmetry_space_group_name_Hall '-P 4 2 3'
loop_
_atom_site_label
_atom_site_type_symbol
_atom_site_fract_x
_atom_site_fract_y
_atom_site_fract_z
K1 K 0.000 0.000 0.500
Sc1 Sc 0.500 0.500 0.500
Ru1 Ru 0.000 0.000 0.000



No. 12
# RbVRh3, optimized geometry, DFT GGA-PBE
# E_form ... 2.397 eV/atom
# Mass density ... 6.75 g cm⁻³
# V ... 109.6 Å³/cell
data_RbVRh3
_chemical_formula_sum 'Rb1 V1 Rh3'
_cell_length_a 4.785
_cell_length_b 4.785
_cell_length_c 4.785
_cell_angle_alpha 90.00
_cell_angle_beta 90.00
_cell_angle_gamma 90.00
_symmetry_space_group_name_H-M 'P m -3 m'
_symmetry_Int_Tables_number 221
_symmetry_space_group_name_Hall '-P 4 2 3'
loop_
_atom_site_label
_atom_site_type_symbol
_atom_site_fract_x
_atom_site_fract_y
_atom_site_fract_z
Rb1 Rb 0.000 0.000 0.000
V1 V 0.500 0.500 0.500
Rh1 Rh 0.000 0.000 0.500



In order of appearance, total magnetic moment = 10.06; 0.00; 3.89; 3.19; 0.00; 0.00; 0.00; 0.00; 0.00; 0.00; 0.00; 1.72 μB per formula unit.